La12Pd3Au5: relaxed, PBE. Values from VASP.

Results
- Space group: Ia-3d, No. 230
- Mass density: 7.2 g/cm3
- Density of states at the Fermi level: 1.07 states/eV per atom
- VASP energy: -4.87 eV per atom

```
&SYSTEM
  ibrav = 0, nat = 80, ntyp = 3
/
ATOMIC_SPECIES
Pd 106.42 Pd.upf
Au 196.97 Au.upf
La 138.91 La.upf
CELL_PARAMETERS angstrom
-10.2754 6.2106 9.4868
1.5645 -14.8800 3.2084
13.4723 7.0405 1.7557
ATOMIC_POSITIONS crystal
Pd 0.7500 0.3750 0.1250
Pd 0.8750 0.7500 0.1250
Pd 0.3750 0.7500 0.6250
Pd 0.2500 0.1250 0.3750
Pd 0.8750 0.1250 0.2500
Pd 0.3750 0.6250 0.2500
Pd 0.6250 0.3750 0.7500
Pd 0.1250 0.8750 0.7500
Pd 0.7500 0.8750 0.6250
Pd 0.6250 0.2500 0.3750
Pd 0.1250 0.2500 0.8750
Pd 0.2500 0.6250 0.8750
Au 0.1250 0.3750 0.2500
Au 0.0000 0.5000 0.0000
Au 0.0000 0.0000 0.0000
Au 0.3750 0.2500 0.1250
Au 0.5000 0.0000 0.5000
Au 0.5000 0.5000 0.0000
Au 0.1250 0.7500 0.3750
Au 0.7500 0.1250 0.8750
Au 0.7500 0.6250 0.3750
Au 0.3750 0.1250 0.7500
Au 0.6250 0.8750 0.2500
Au 0.5000 0.5000 0.5000
Au 0.5000 0.0000 0.0000
Au 0.0000 0.0000 0.5000
Au 0.2500 0.3750 0.6250
Au 0.2500 0.8750 0.1250
Au 0.0000 0.5000 0.5000
Au 0.8750 0.2500 0.6250
Au 0.6250 0.7500 0.8750
Au 0.8750 0.6250 0.7500
La 0.7275 0.1341 0.0573
La 0.3298 0.5573 0.4232
La 0.9427 0.3659 0.2725
La 0.5573 0.2275 0.1341
La 0.5934 0.7275 0.6702
La 0.9427 0.5768 0.1702
La 0.3298 0.7725 0.4066
La 0.0768 0.9066 0.1341
La 0.5768 0.9427 0.6702
La 0.7275 0.5934 0.1702
La 0.7725 0.4427 0.3659
La 0.8298 0.9232 0.0573
La 0.1341 0.7275 0.5573
La 0.3659 0.4232 0.0934
La 0.0934 0.9232 0.3659
La 0.4066 0.1341 0.5768
La 0.0934 0.1702 0.2275
La 0.4427 0.6702 0.0768
La 0.8298 0.9066 0.2725
La 0.1341 0.4066 0.0768
La 0.3659 0.9427 0.7725
La 0.5768 0.6341 0.4066
La 0.9232 0.8298 0.5573
La 0.7725 0.3298 0.9066
La 0.4232 0.3659 0.5934
La 0.0768 0.1702 0.4427
La 0.2275 0.6702 0.0934
La 0.1702 0.0934 0.7275
La 0.6341 0.0573 0.2275
La 0.8659 0.5934 0.9232
La 0.5573 0.3298 0.9232
La 0.5934 0.8659 0.4232
La 0.9066 0.8298 0.7725
La 0.9066 0.0768 0.6341
La 0.8659 0.2725 0.4427
La 0.1702 0.0768 0.9427
La 0.6341 0.5768 0.9066
La 0.4232 0.0573 0.3298
La 0.2725 0.4066 0.8298
La 0.2275 0.5573 0.6341
La 0.9232 0.0934 0.8659
La 0.6702 0.2275 0.5934
La 0.4427 0.7725 0.8659
La 0.0573 0.4232 0.8298
La 0.4066 0.2725 0.3298
La 0.0573 0.6341 0.7275
La 0.6702 0.4427 0.5768
La 0.2725 0.8659 0.9427
```



PaAg5Se5: relaxed, PBE. Values from VASP.

Results
- Space group: C2/m, No. 12
- Mass density: 7.1 g/cm3
- Density of states at the Fermi level: 0.04 states/eV per atom
- VASP energy: -4.15 eV per atom

```
&SYSTEM
  ibrav = 0, nat = 11, ntyp = 3
/
ATOMIC_SPECIES
Pa 231.04 Pa.upf
Ag 107.87 Ag.upf
Se 78.96 Se.upf
CELL_PARAMETERS angstrom
5.6225 0.0000 0.0000
-2.8112 6.4947 -0.1185
0.0000 -2.5681 7.4856
ATOMIC_POSITIONS crystal
Pa 0.0000 0.0000 0.0000
Ag 0.6684 0.3368 0.3203
Ag 0.6665 0.3330 0.8500
Ag 0.0000 0.0000 0.5000
Ag 0.3335 0.6670 0.1500
Ag 0.3316 0.6632 0.6797
Se 0.8521 0.7042 0.1911
Se 0.8181 0.6362 0.6772
Se 0.5000 0.0000 0.0000
Se 0.1819 0.3638 0.3228
Se 0.1479 0.2958 0.8089
```



NaOsF2: relaxed, PBE. Values from VASP.

Results
- Space group: R-3m, No. 166
- Mass density: 7.9 g/cm3
- Polymorph energy (0 for the lowest one): 0.976 eV per atom
- Density of states at the Fermi level: 0.81 states/eV per atom
- VASP energy: -4.51 eV per atom

```
&SYSTEM
  ibrav = 0, nat = 4, ntyp = 3
/
ATOMIC_SPECIES
Na 22.99 Na.upf
Os 190.23 Os.upf
F 19.00 F.upf
CELL_PARAMETERS angstrom
1.5775 0.0000 8.1208
-0.7887 1.3661 8.1208
-0.7887 -1.3661 8.1208
ATOMIC_POSITIONS crystal
Na 0.0000 0.0000 0.0000
Os 0.5000 0.5000 0.5000
F 0.9170 0.9170 0.9170
F 0.0830 0.0830 0.0830
```